# RePt2Rh | the Alexandria database | SCAN | single point on PBEsol structure
# - D(E_F): 3.776 states/eV/f.u.
# - Magnetization: 0.00 μB per formula unit
# - Calculated formation energy: -69.7 meV per atom
# - Energy: -61.383 eV per atom
# - Density: 19.663 Mg/m³
# - Volume: 114.7 Å³/cell
data_RePt2Rh
_chemical_formula_sum 'Re2 Pt4 Rh2'
_symmetry_space_group_name_H-M 'I 4/m m m'
_symmetry_Int_Tables_number 139
_symmetry_space_group_name_Hall '-I 4 2'
_cell_length_a 3.814
_cell_length_b 3.814
_cell_length_c 7.885
_cell_angle_alpha 90.00
_cell_angle_beta 90.00
_cell_angle_gamma 90.00
loop_
_atom_site_label
_atom_site_type_symbol
_atom_site_fract_x
_atom_site_fract_y
_atom_site_fract_z
_atom_site_occupancy
Re1 Re 0.000 0.000 0.000 1
Pt1 Pt 0.000 0.500 0.250 1
Rh1 Rh 0.000 0.000 0.500 1